! Tc5Os2, relaxed, DFT PBE; values from VASP
! Electronic total energy, eV per atom: -10.672
! Space group: C2/c (15)
&SYSTEM
  ibrav = 0, nat = 14, ntyp = 2
/
ATOMIC_SPECIES
Tc 98.00 Tc.upf
Os 190.23 Os.upf
CELL_PARAMETERS angstrom
4.7778 0.0000 0.0000
-2.3889 6.0227 -0.3573
0.0000 -0.1577 7.0436
ATOMIC_POSITIONS crystal
Tc 0.1662 0.0000 0.7500
Tc 0.4501 0.5678 0.1767
Tc 0.8338 0.0000 0.2500
Tc 0.1178 0.5678 0.6767
Tc 0.8822 0.4322 0.3233
Tc 0.0259 0.7186 0.0369
Tc 0.6927 0.7186 0.5370
Tc 0.5499 0.4322 0.8233
Tc 0.3073 0.2814 0.4630
Tc 0.9741 0.2814 0.9630
Os 0.5951 0.8568 0.8923
Os 0.2616 0.8568 0.3923
Os 0.4049 0.1432 0.1077
Os 0.7384 0.1432 0.6077

---

! LiLa2Br2, relaxed, DFT PBE; values from VASP
! Electronic total energy, eV per atom: -3.779
! Offset from the most stable computed form, kcal/mol of atoms: 0.000
! Uncorrected formation energy, kJ/mol of formula units: -365
! Space group: I4/mmm (139)
&SYSTEM
  ibrav = 0, nat = 5, ntyp = 3
/
ATOMIC_SPECIES
Li 6.94 Li.upf
Br 79.90 Br.upf
La 138.91 La.upf
CELL_PARAMETERS angstrom
4.8652 0.0000 0.0000
0.0000 4.8652 0.0000
2.4326 2.4326 6.8688
ATOMIC_POSITIONS crystal
Li 0.0000 0.0000 0.0000
Br 0.2500 0.7500 0.5000
Br 0.7500 0.2500 0.5000
La 0.3943 0.3943 0.2113
La 0.6057 0.6057 0.7887

---

| no. | D(E_F) (states/eV per cell) |
| --- | --- |
| 1 | 10.20 |
| 2 | 5.84 |